1.
An optimized crystal structure of BeAlSe2, computed with PBE.

Unit cell a=3.5833 b=3.5833 c=6.1442 alpha=90.00 beta=90.00 gamma=90.00
Closest atoms and distances in Å follow each position.
Sites, in units of the cell vectors:
Be 0.0000 0.0000 0.0000  5 Se 2.36-2.59
Al 0.5000 0.5000 0.6864  5 Se 2.46-2.57
Se 0.0000 0.0000 0.6157  1 Be 2.36, 4 Al 2.57
Se 0.5000 0.5000 0.0869  1 Al 2.46, 4 Be 2.59

Summary:
Volume: 78.9 Å³ per cell
Uncorrected formation energy: -0.306 eV/atom
Excess energy over the best structure of this formula in the dataset: 0.102 eV per atom



2.
An optimized crystal structure of BeB2Sb, computed with PBE.

Unit cell a=6.7796 b=6.7796 c=6.7796 alpha=145.86 beta=145.86 gamma=49.06
Closest atoms and distances in Å follow each position.
Sites, in units of the cell vectors:
Be 0.0000 0.0000 0.0000  4 B 1.88
Be 0.7500 0.2500 0.5000  4 B 1.88
B 0.3750 0.2322 0.3572  2 Be 1.88
B 0.7678 0.1250 0.1428  2 Be 1.88
B 0.8750 0.0178 0.6428  2 Be 1.88
B 0.9822 0.6250 0.8572  2 Be 1.88
Sb 0.2500 0.7500 0.5000  4 B 2.41
Sb 0.5000 0.5000 0.0000  4 B 2.41

Summary:
Volume: 97.7 Å³ per cell
Uncorrected formation energy: 0.727 eV/atom
Excess energy over the best structure of this formula in the dataset: 0.000 eV per atom



3.
An optimized crystal structure of Ac4SmS7, computed with PBE.

Unit cell a=7.3051 b=7.3051 c=12.2662 alpha=104.97 beta=104.97 gamma=33.05
Closest atoms and distances in Å follow each position.
Sites, in units of the cell vectors:
Ac 0.0000 0.0000 0.0000  6 S 2.90-3.04
Ac 0.1931 0.1931 0.7668  7 S 2.96-3.18
Ac 0.5881 0.5881 0.3757  7 S 2.98-3.20
Ac 0.8891 0.8891 0.5672  6 S 2.91-3.00
Sm 0.7770 0.7770 0.1489  6 S 2.77-2.91
S 0.1611 0.1611 0.2193  2 Sm 2.91, 3 Ac 3.01-3.18
S 0.2284 0.2284 0.5215  5 Ac 3.00-3.18
S 0.3795 0.3795 0.0730  2 Sm 2.82, 2 Ac 2.96
S 0.5496 0.5496 0.6212  5 Ac 3.00-3.20
S 0.6317 0.6317 0.9319  1 Sm 2.88, 4 Ac 3.04-3.18
S 0.8470 0.8470 0.7867  4 Ac 2.90-2.96
S 0.9305 0.9305 0.3461  1 Sm 2.77, 3 Ac 2.92-2.98

Summary:
Volume: 343.8 Å³ per cell
Uncorrected formation energy: -2.123 eV/atom



4.
An optimized crystal structure of RbSc2CrPd, computed with PBE.

Unit cell a=4.7854 b=4.7854 c=5.5032 alpha=90.00 beta=90.00 gamma=90.00
Closest atoms and distances in Å follow each position.
Sites, in units of the cell vectors:
Rb 0.0000 0.0000 0.0000  2 Cr 2.75
Sc 0.0000 0.5000 0.5000  2 Cr 2.39
Sc 0.5000 0.0000 0.5000  2 Cr 2.39
Cr 0.0000 0.0000 0.5000  4 Sc 2.39
Pd 0.5000 0.5000 0.0000  4 Rb 3.38, 8 Sc 3.65

Summary:
Formation enthalpy at 0 K: 0.99 eV per atom
Volume: 126.0 Å³ per cell



5.
An optimized crystal structure of ZrOsPdRu2, computed with PBE.

Unit cell a=4.7298 b=4.7298 c=4.8241 alpha=90.00 beta=90.00 gamma=90.00
Closest atoms and distances in Å follow each position.
Sites, in units of the cell vectors:
Zr 0.0000 0.0000 0.0000  4 Ru 2.36, 2 Os 2.41
Os 0.0000 0.0000 0.5000  2 Zr 2.41
Pd 0.5000 0.5000 0.5000  4 Os 3.34, 8 Ru 3.38
Ru 0.0000 0.5000 0.0000  2 Zr 2.36
Ru 0.5000 0.0000 0.0000  2 Zr 2.36

Summary:
Formation enthalpy at 0 K: 1.97 eV per atom
Volume: 107.9 Å³ per cell



6.
An optimized crystal structure of TlBi2RhO8, computed with PBE.

Unit cell a=4.9045 b=6.9201 c=4.9446 alpha=90.00 beta=90.38 gamma=90.00
Closest atoms and distances in Å follow each position.
Sites, in units of the cell vectors:
Tl 0.0000 0.0000 0.0000  6 O 2.21-2.31
Bi 0.5000 0.2576 0.5000  6 O 2.20-2.26
Bi 0.5000 0.7424 0.5000  6 O 2.20-2.26
Rh 0.0000 0.5000 0.0000  6 O 2.00-2.02
O 0.2107 0.2769 0.1594  1 Rh 2.02, 1 Bi 2.20
O 0.2107 0.7231 0.1594  1 Rh 2.02, 1 Bi 2.20
O 0.2537 0.5000 0.6848  1 Rh 2.00
O 0.2973 0.0000 0.6663  2 Bi 2.20, 1 Tl 2.21
O 0.7027 0.0000 0.3337  2 Bi 2.20, 1 Tl 2.21
O 0.7463 0.5000 0.3152  1 Rh 2.00
O 0.7893 0.2769 0.8406  1 Rh 2.02, 1 Bi 2.20
O 0.7893 0.7231 0.8406  1 Rh 2.02, 1 Bi 2.20

Summary:
Volume: 167.8 Å³ per cell
Uncorrected formation energy: -0.760 eV/atom